## CrFePb2 (PBEsol)

Data for crystalline CrFePb2 at its relaxed geometry.

ρ: 10.82 Mg/m³
final energy: -75.9 eV per cell
space-group type: R3m, No. 160
formation energy: 1.900 eV/f.u.

Unit cell a=3.7332 b=3.7332 c=19.9287 alpha=90.00 beta=90.00 gamma=120.00
Closest atoms and distances in Å follow each position.
Sites, in units of the cell vectors:
1 Cr 0.0000 0.0000 0.0000  3 Fe 2.17
2 Cr 0.3333 0.6667 0.6667  3 Fe 2.17
3 Cr 0.6667 0.3333 0.3333  3 Fe 2.17
4 Fe 0.0000 0.0000 0.6806  3 Cr 2.17
5 Fe 0.3333 0.6667 0.3472  3 Cr 2.17
6 Fe 0.6667 0.3333 0.0139  3 Cr 2.17
7 Pb 0.0000 0.0000 0.2395  3 Cr 2.85, 3 Fe 3.04
8 Pb 0.0000 0.0000 0.4379  3 Fe 2.81, 3 Cr 3.00
9 Pb 0.3333 0.6667 0.1046  3 Fe 2.81, 3 Cr 3.00
10 Pb 0.3333 0.6667 0.9062  3 Cr 2.85, 3 Fe 3.04
11 Pb 0.6667 0.3333 0.5729  3 Cr 2.85, 3 Fe 3.04
12 Pb 0.6667 0.3333 0.7713  3 Fe 2.81, 3 Cr 3.00

***

## ZrCu2Ru (PBEsol)

Data for crystalline ZrCu2Ru at its relaxed geometry.

ρ: 9.28 Mg/m³
final energy: -56.8 eV per cell
space-group type: I-4m2, No. 119
formation energy: -0.454 eV/f.u.
offset from the most stable computed form: 0 meV per atom

Unit cell a=3.8730 b=3.8730 c=7.6172 alpha=90.00 beta=90.00 gamma=90.00
Closest atoms and distances in Å follow each position.
Sites, in units of the cell vectors:
1 Zr 0.0000 0.0000 0.0000  4 Ru 2.72, 8 Cu 2.72-2.74
2 Zr 0.5000 0.5000 0.5000  4 Ru 2.72, 8 Cu 2.72-2.74
3 Cu 0.0000 0.0000 0.5000  4 Ru 2.72, 4 Cu 2.72, 4 Zr 2.74
4 Cu 0.0000 0.5000 0.2500  4 Zr 2.72, 4 Cu 2.72, 4 Ru 2.74
5 Cu 0.5000 0.0000 0.7500  4 Zr 2.72, 4 Cu 2.72, 4 Ru 2.74
6 Cu 0.5000 0.5000 0.0000  4 Ru 2.72, 4 Cu 2.72, 4 Zr 2.74
7 Ru 0.0000 0.5000 0.7500  4 Zr 2.72, 8 Cu 2.72-2.74
8 Ru 0.5000 0.0000 0.2500  4 Zr 2.72, 8 Cu 2.72-2.74

***

## BaZrRu2 (PBEsol)

Data for crystalline BaZrRu2 at its relaxed geometry.

ρ: 9.13 Mg/m³
final energy: -57.1 eV per cell
space-group type: I-4m2, No. 119
formation energy: 3.055 eV/f.u.
offset from the most stable computed form: 392 meV per atom

Unit cell a=3.9518 b=3.9518 c=10.0365 alpha=90.00 beta=90.00 gamma=90.00
Closest atoms and distances in Å follow each position.
Sites, in units of the cell vectors:
1 Ba 0.0000 0.0000 0.0000  4 Ru 2.79
2 Ba 0.5000 0.5000 0.5000  4 Ru 2.79
3 Zr 0.0000 0.5000 0.7500  4 Ru 2.79
4 Zr 0.5000 0.0000 0.2500  4 Ru 2.79
5 Ru 0.0000 0.0000 0.5000  4 Ba 2.79
6 Ru 0.0000 0.5000 0.2500  4 Zr 2.79
7 Ru 0.5000 0.0000 0.7500  4 Zr 2.79
8 Ru 0.5000 0.5000 0.0000  4 Ba 2.79

***

## RbIrN3 (PBEsol)

Data for crystalline RbIrN3 at its relaxed geometry.

energy relative to the elements, uncorrected: 3.97 eV/atom
ρ: 7.75 Mg/m³
final energy: -16.6 eV per cell
space-group type: Pm-3m, No. 221

Unit cell a=4.0908 b=4.0908 c=4.0908 alpha=90.00 beta=90.00 gamma=90.00
Closest atoms and distances in Å follow each position.
Sites, in units of the cell vectors:
1 Rb 0.0000 0.0000 0.0000  6 N 2.05
2 Ir 0.5000 0.5000 0.5000  12 N 2.89
3 N 0.0000 0.0000 0.5000  2 Rb 2.05
4 N 0.0000 0.5000 0.0000  2 Rb 2.05
5 N 0.5000 0.0000 0.0000  2 Rb 2.05

***

## Os2RhAu (PBEsol)

Data for crystalline Os2RhAu at its relaxed geometry.

ρ: 19.03 Mg/m³
final energy: -67.6 eV per cell
space-group type: C2/m, No. 12
formation energy: 2.714 eV/f.u.
offset from the most stable computed form: 280 meV per atom

Unit cell a=5.3172 b=9.4738 c=2.7274 alpha=90.00 beta=120.21 gamma=90.00
Closest atoms and distances in Å follow each position.
Sites, in units of the cell vectors:
1 Os 0.2500 0.2500 0.0000  6 Os 2.66-2.73, 2 Rh 2.72, 2 Au 2.72
2 Os 0.2500 0.7500 0.0000  6 Os 2.66-2.73, 2 Rh 2.72, 2 Au 2.72
3 Os 0.7500 0.2500 0.0000  6 Os 2.66-2.73, 2 Rh 2.72, 2 Au 2.72
4 Os 0.7500 0.7500 0.0000  6 Os 2.66-2.73, 2 Rh 2.72, 2 Au 2.72
5 Rh 0.0000 0.0000 0.5000  4 Au 2.66-2.69, 4 Os 2.72, 2 Rh 2.73
6 Rh 0.5000 0.5000 0.5000  4 Au 2.66-2.69, 4 Os 2.72, 2 Rh 2.73
7 Au 0.0000 0.5000 0.5000  4 Rh 2.66-2.69, 4 Os 2.72, 2 Au 2.73
8 Au 0.5000 0.0000 0.5000  4 Rh 2.66-2.69, 4 Os 2.72, 2 Au 2.73

***

## KCdPb2 (PBEsol)

Data for crystalline KCdPb2 at its relaxed geometry.

ρ: 7.60 Mg/m³
final energy: -20.9 eV per cell
space-group type: C2/m, No. 12
formation energy: -0.128 eV/f.u.

Unit cell a=10.2559 b=3.4891 c=7.0037 alpha=90.00 beta=99.57 gamma=90.00
Closest atoms and distances in Å follow each position.
Sites, in units of the cell vectors:
1 K 0.0000 0.0000 0.0000  6 Pb 3.49-3.62, 2 K 3.49
2 K 0.5000 0.5000 0.0000  6 Pb 3.49-3.62, 2 K 3.49
3 Cd 0.0000 0.5000 0.5000  6 Pb 3.10-3.23
4 Cd 0.5000 0.0000 0.5000  6 Pb 3.10-3.23
5 Pb 0.2354 0.0000 0.6932  3 Cd 3.10-3.23, 2 Pb 3.28
6 Pb 0.2646 0.5000 0.3068  3 Cd 3.10-3.23, 2 Pb 3.28
7 Pb 0.7354 0.5000 0.6932  3 Cd 3.10-3.23, 2 Pb 3.28
8 Pb 0.7646 0.0000 0.3068  3 Cd 3.10-3.23, 2 Pb 3.28